--- one ---
## La5Ni (PBEsol)

Data for an optimized crystal structure of La5Ni.

The value obtained for the volume is 167.0 Å³/f.u.

It has space group P-62m (No. 189), with a = 6.0362 Å, b = 6.0362 Å, c = 5.2935 Å, α = 90.00°, β = 90.00° and γ = 120.00°. The asymmetric unit holds La at (0.0000, 0.7066, 0.0000), La at (0.3333, 0.6667, 0.5000) and Ni at (0.0000, 0.0000, 0.5000).


--- two ---
## La5Ni (PBEsol)

Data for an optimized crystal structure of La5Ni.

The value obtained for the volume is 178.5 Å³/f.u.

It has space group Cm (No. 8), with a = 12.140 Å, b = 3.619 Å, c = 8.548 Å, α = 90.00°, β = 108.09° and γ = 90.00°. The asymmetric unit holds La at (0.000, 0.000, 0.000), La at (0.043, 0.000, 0.413), La at (0.193, 0.500, 0.802), La at (0.258, 0.500, 0.252), La at (0.382, 0.000, 0.638) and Ni at (0.331, 0.000, 0.048).


Ranking the structures above by energy, two is first and the second is 156 meV per atom behind.